No. 1
Density functional theory data (PBE-GGA) for HfRe2NiHg after structural relaxation.

Values from the calculation:
Space-group type: No. 123
Calculated volume (Å³/cell): 108.74
Calculated density (g/cm³): 12.37
Total energy (eV per atom): -6.1554

abc: 4.863 4.863 4.598
angles: 90.00 90.00 90.00
Atoms (fractional coordinates):
Hf 0.000 0.000 0.000
Re 0.000 0.500 0.000
Re 0.500 0.000 0.000
Ni 0.000 0.000 0.500
Hg 0.500 0.500 0.500

No. 2
Density functional theory data (PBE-GGA) for HfNiHgRh after structural relaxation.

Values from the calculation:
Space-group type: No. 216
Calculated volume (Å³/cell): 65.92
Calculated density (g/cm³): 13.62
Total energy (eV per atom): -6.1927

abc: 4.534 4.534 4.534
angles: 60.00 60.00 60.00
Atoms (fractional coordinates):
Hf 0.000 0.000 0.000
Ni 0.750 0.750 0.750
Hg 0.500 0.500 0.500
Rh 0.250 0.250 0.250

No. 3
Density functional theory data (PBE-GGA) for HfNi2HgRu after structural relaxation.

Values from the calculation:
Space-group type: No. 123
Calculated volume (Å³/cell): 106.69
Calculated density (g/cm³): 9.30
Total energy (eV per atom): -4.6213

abc: 4.537 4.537 5.184
angles: 90.00 90.00 90.00
Atoms (fractional coordinates):
Hf 0.000 0.000 0.000
Ni 0.000 0.500 0.500
Ni 0.500 0.000 0.500
Hg 0.000 0.000 0.500
Ru 0.500 0.500 0.000

No. 4
Density functional theory data (PBE-GGA) for HfNi2HgSb after structural relaxation.

Values from the calculation:
Space-group type: No. 123
Calculated volume (Å³/cell): 115.16
Calculated density (g/cm³): 8.91
E_form (uncorrected) (kJ/mol of atoms): 103.6

abc: 4.653 4.653 5.318
angles: 90.00 90.00 90.00
Atoms (fractional coordinates):
Hf 0.000 0.000 0.000
Ni 0.000 0.500 0.500
Ni 0.500 0.000 0.500
Hg 0.500 0.500 0.500
Sb 0.500 0.500 0.000

No. 5
Density functional theory data (PBE-GGA) for HfScNiHg after structural relaxation.

Values from the calculation:
Space-group type: No. 216
Calculated volume (Å³/cell): 75.83
Calculated density (g/cm³): 10.57
Total energy (eV per atom): -5.7982

abc: 4.751 4.751 4.751
angles: 60.00 60.00 60.00
Atoms (fractional coordinates):
Hf 0.000 0.000 0.000
Sc 0.500 0.500 0.500
Ni 0.250 0.250 0.250
Hg 0.750 0.750 0.750

No. 6
Density functional theory data (PBE-GGA) for HfNiSn2Hg after structural relaxation.

Values from the calculation:
Space-group type: No. 123
Calculated volume (Å³/cell): 116.51
Calculated density (g/cm³): 9.62
Total energy (eV per atom): -4.4275

abc: 4.869 4.869 4.914
angles: 90.00 90.00 90.00
Atoms (fractional coordinates):
Hf 0.000 0.000 0.000
Ni 0.500 0.500 0.500
Sn 0.000 0.500 0.500
Sn 0.500 0.000 0.500
Hg 0.500 0.500 0.000

No. 7
Density functional theory data (PBE-GGA) for HfTiNi2Hg after structural relaxation.

Values from the calculation:
Space-group type: No. 123
Calculated volume (Å³/cell): 107.48
Calculated density (g/cm³): 8.41
Total energy (eV per atom): -4.8828

abc: 4.505 4.505 5.297
angles: 90.00 90.00 90.00
Atoms (fractional coordinates):
Hf 0.000 0.000 0.000
Ti 0.500 0.500 0.500
Ni 0.000 0.500 0.000
Ni 0.500 0.000 0.000
Hg 0.000 0.000 0.500

No. 8
Density functional theory data (PBE-GGA) for Hf2TlNiHg after structural relaxation.

Values from the calculation:
Space-group type: No. 123
Calculated volume (Å³/cell): 113.66
Calculated density (g/cm³): 11.99
Total energy (eV per atom): -5.3892

abc: 4.837 4.837 4.858
angles: 90.00 90.00 90.00
Atoms (fractional coordinates):
Hf 0.000 0.500 0.000
Hf 0.500 0.000 0.000
Tl 0.000 0.000 0.500
Ni 0.000 0.000 0.000
Hg 0.500 0.500 0.500

No. 9
Density functional theory data (PBE-GGA) for Hf2NiHgW after structural relaxation.

Values from the calculation:
Space-group type: No. 123
Calculated volume (Å³/cell): 102.74
Calculated density (g/cm³): 12.93
Total energy (eV per atom): -6.9309

abc: 4.695 4.695 4.660
angles: 90.00 90.00 90.00
Atoms (fractional coordinates):
Hf 0.000 0.500 0.000
Hf 0.500 0.000 0.000
Ni 0.000 0.000 0.000
Hg 0.000 0.000 0.500
W 0.500 0.500 0.500

No. 10
Density functional theory data (PBE-GGA) for HfZnNiHg2 after structural relaxation.

Values from the calculation:
Space-group type: No. 123
Calculated volume (Å³/cell): 149.10
Calculated density (g/cm³): 7.84
Total energy (eV per atom): -2.6303

abc: 5.644 5.644 4.681
angles: 90.00 90.00 90.00
Atoms (fractional coordinates):
Hf 0.000 0.000 0.000
Zn 0.500 0.500 0.500
Ni 0.000 0.000 0.500
Hg 0.000 0.500 0.000
Hg 0.500 0.000 0.000

No. 11
Density functional theory data (PBE-GGA) for HfNpHgO6 after structural relaxation.

Values from the calculation:
Space-group type: No. 163
Calculated volume (Å³/cell): 265.07
Calculated density (g/cm³): 8.92
E_form (uncorrected) (kJ/mol of atoms): -229.9

abc: 5.623 5.623 9.681
angles: 90.00 90.00 120.00
Atoms (fractional coordinates):
Hf 0.333 0.667 0.250
Hf 0.667 0.333 0.750
Np 0.333 0.667 0.750
Np 0.667 0.333 0.250
Hg 0.000 0.000 0.000
Hg 0.000 0.000 0.500
O 0.002 0.366 0.640
O 0.002 0.637 0.860
O 0.363 0.366 0.860
O 0.363 0.998 0.640
O 0.366 0.002 0.140
O 0.366 0.363 0.360
O 0.634 0.637 0.640
O 0.634 0.998 0.860
O 0.637 0.002 0.360
O 0.637 0.634 0.140
O 0.998 0.363 0.140
O 0.998 0.634 0.360

No. 12
Density functional theory data (PBE-GGA) for HfHgO2 after structural relaxation.

Values from the calculation:
Space-group type: No. 122
Calculated volume (Å³/cell): 184.08
Calculated density (g/cm³): 7.42
E_form (uncorrected) (kJ/mol of atoms): -236.5

abc: 6.385 6.385 6.385
angles: 120.00 120.00 89.99
Atoms (fractional coordinates):
Hf 0.000 0.000 0.000
Hf 0.750 0.250 0.500
Hg 0.250 0.750 0.500
Hg 0.500 0.500 0.000
O 0.375 0.124 0.249
O 0.874 0.625 0.749
O 0.875 0.126 0.751
O 0.876 0.125 0.251